1.
CoSb2Au GGA-PBE relaxed; crystal system = monoclinic; formation energy from raw total energies = 0.14 eV/atom; space-group type = Cm; excess energy over the best structure of this formula in the dataset = 57 meV/atom; electronic total energy = -18.1 eV per cell; DOS(E_F) = 0.87 states/eV per atom
1.0
-1.927 3.118 -3.408
-2.219 -0.154 -4.484
-6.185 0.513 0.114
Sb Co Au
2 1 1
Cartesian
-4.120 2.691 -7.069
-7.390 2.672 -6.126
-3.514 0.982 -2.035
-4.619 1.834 -4.328

=====

2.
CoSb2Au GGA-PBE relaxed; crystal system = orthorhombic; formation energy from raw total energies = 0.11 eV/atom; space-group type = Imm2; excess energy over the best structure of this formula in the dataset = 28 meV/atom; electronic total energy = -18.2 eV per cell; DOS(E_F) = 0.72 states/eV per atom
1.0
-0.512 1.296 6.714
-4.806 -0.801 4.825
4.093 -2.244 -5.022
Au Sb Co
1 2 1
Cartesian
-2.307 0.215 5.007
-0.339 0.032 0.735
0.337 -0.339 4.000
-1.574 -1.409 2.544

=====

3.
Co2SbAu GGA-PBE relaxed; crystal system = orthorhombic; formation energy from raw total energies = 0.23 eV/atom; space-group type = Pmm2; electronic total energy = -20.7 eV per cell; DOS(E_F) = 0.92 states/eV per atom
1.0
-0.242 -1.079 -2.723
3.298 -0.131 -0.241
-0.067 -6.312 2.507
Sb Co Au
1 2 1
Cartesian
-0.030 -2.803 1.113
1.515 -1.889 -0.972
-0.003 -0.283 0.112
1.474 -5.703 0.543

=====

4.
Co3SbAu GGA-PBE relaxed; crystal system = cubic; formation energy from raw total energies = 1.22 eV/atom; space-group type = Pm-3m; excess energy over the best structure of this formula in the dataset = 0 meV/atom; electronic total energy = -22.6 eV per cell; DOS(E_F) = 1.80 states/eV per atom
1.0
4.637 0.000 0.000
0.000 4.637 0.000
0.000 0.000 4.637
Au Co Sb
1 3 1
Cartesian
2.319 2.319 2.319
0.000 2.319 0.000
0.000 0.000 2.319
2.319 0.000 0.000
0.000 0.000 0.000

=====

5.
Co2SbAu GGA-PBE relaxed; crystal system = trigonal; formation energy from raw total energies = 0.37 eV/atom; space-group type = R-3m; electronic total energy = -20.1 eV per cell; DOS(E_F) = 0.86 states/eV per atom
1.0
-7.404 2.928 -0.292
-7.882 0.003 -1.166
-7.720 0.711 1.838
Au Co Sb
1 2 1
Cartesian
-17.255 2.732 0.284
-11.570 1.832 0.191
-22.940 3.632 0.378
-5.752 0.911 0.095

=====

6.
CoSb2Au GGA-PBE relaxed; crystal system = tetragonal; formation energy from raw total energies = 0.18 eV/atom; space-group type = P4/mmm; excess energy over the best structure of this formula in the dataset = 106 meV/atom; electronic total energy = -17.9 eV per cell; DOS(E_F) = 0.60 states/eV per atom
1.0
3.138 0.020 0.000
-0.021 3.138 0.000
0.000 0.000 8.013
Sb Co Au
2 1 1
Cartesian
0.000 0.000 7.634
0.000 0.000 4.385
1.558 1.579 6.010
1.558 1.579 2.003

=====

7.
CoSb2Au GGA-PBE relaxed; crystal system = monoclinic; formation energy from raw total energies = 0.08 eV/atom; space-group type = C2/m; excess energy over the best structure of this formula in the dataset = 0 meV/atom; electronic total energy = -18.3 eV per cell; DOS(E_F) = 0.83 states/eV per atom
1.0
-1.209 0.748 3.301
-0.465 -2.670 2.361
6.274 0.216 4.180
Co Sb Au
1 2 1
Cartesian
1.150 -0.426 2.461
-1.402 -1.885 5.743
2.029 -0.890 4.841
3.450 -1.279 7.382

=====

8.
Co2SbAu GGA-PBE relaxed; crystal system = monoclinic; formation energy from raw total energies = 0.25 eV/atom; space-group type = Cm; electronic total energy = -20.6 eV per cell; DOS(E_F) = 1.09 states/eV per atom
1.0
-3.402 3.748 -0.401
-3.919 2.331 2.235
1.577 3.518 2.201
Au Sb Co
1 1 2
Cartesian
-1.704 2.253 0.878
-2.656 4.922 2.126
-0.058 0.328 0.165
-4.199 6.893 2.883

=====

9.
CoSbAu3 GGA-PBE relaxed; crystal system = cubic; formation energy from raw total energies = 0.66 eV/atom; space-group type = Pm-3m; excess energy over the best structure of this formula in the dataset = 0 meV/atom; electronic total energy = -17.8 eV per cell; DOS(E_F) = 1.12 states/eV per atom
1.0
4.794 0.000 0.000
0.000 4.794 0.000
0.000 0.000 4.794
Au Co Sb
3 1 1
Cartesian
0.000 0.000 2.397
2.397 0.000 0.000
0.000 2.397 0.000
0.000 0.000 0.000
2.397 2.397 2.397

=====

10.
CoSb2Au2 GGA-PBE relaxed; crystal system = tetragonal; formation energy from raw total energies = 0.27 eV/atom; space-group type = P4/mbm; electronic total energy = -41.1 eV per cell; DOS(E_F) = 0.58 states/eV per atom
1.0
-2.825 -4.716 3.952
2.695 -4.858 -3.870
3.720 -0.028 2.626
Au Co Sb
4 2 4
Cartesian
2.294 -7.208 0.622
0.402 -5.686 3.318
1.297 -2.394 2.086
3.188 -3.915 -0.609
-0.065 -4.787 0.041
0.000 0.000 0.000
0.450 -2.406 -0.663
-1.434 -3.914 1.990
-0.580 -7.168 0.746
1.303 -5.660 -1.907

=====

11.
Co2SbAu GGA-PBE relaxed; crystal system = cubic; formation energy from raw total energies = 0.40 eV/atom; space-group type = F-43m; electronic total energy = -20.0 eV per cell; DOS(E_F) = 1.33 states/eV per atom
1.0
4.473 0.000 0.000
2.236 3.874 0.000
2.236 1.291 3.652
Au Sb Co
1 1 2
Cartesian
4.473 2.582 1.826
6.709 3.874 2.739
0.000 0.000 0.000
2.236 1.291 0.913

=====

12.
CoSb2Au GGA-PBE relaxed; crystal system = tetragonal; formation energy from raw total energies = 0.38 eV/atom; space-group type = I-4m2; excess energy over the best structure of this formula in the dataset = 299 meV/atom; electronic total energy = -17.1 eV per cell; DOS(E_F) = 0.93 states/eV per atom
1.0
5.667 0.043 0.000
2.709 4.978 0.000
-4.188 -2.510 2.877
Sb Au Co
2 1 1
Cartesian
0.000 0.000 0.000
1.355 2.489 1.438
4.188 2.510 0.000
2.834 0.021 1.438